# 1
Density functional theory data (PBE) for a geometry-optimized Tb8IrAu2 structure.

Structure (POSCAR):
```
Tb8IrAu2
1.0
5.121 0.000 0.000
0.000 6.800 0.291
-2.561 -2.572 8.417
Tb Ir Au
8 1 2
direct
0.412 0.565 0.824
0.660 0.970 0.320
0.796 0.681 0.593
0.970 0.211 0.941
0.204 0.319 0.407
0.340 0.030 0.680
0.588 0.435 0.176
0.030 0.789 0.059
0.500 0.000 0.000
0.812 0.270 0.624
0.188 0.730 0.376
```

Computed properties:
**Symmetry**: C2/m, No. 12
**VASP energy**: -5.268 eV/atom
**DFT formation energy**: -0.499 eV per atom
**Spin magnetization**: 0.0 Bohr magnetons per cell



# 2
Density functional theory data (PBE) for a geometry-optimized NdSn3Pt2 structure.

Structure (POSCAR):
```
NdSn3Pt2
1.0
4.251 0.000 1.170
1.031 7.483 4.559
-0.141 0.303 8.817
Nd Sn Pt
2 6 4
direct
0.875 0.125 0.125
0.125 0.875 0.875
0.329 0.469 0.873
0.000 0.340 0.661
0.671 0.127 0.531
0.329 0.873 0.469
0.000 0.660 0.339
0.671 0.531 0.127
0.500 0.163 0.837
0.500 0.837 0.163
0.786 0.714 0.714
0.214 0.286 0.286
```

Computed properties:
**Symmetry**: C2/m, No. 12
**VASP energy**: -5.487 eV/atom
**DFT formation energy**: -0.678 eV per atom
**Spin magnetization**: 0.0 Bohr magnetons per cell



# 3
Density functional theory data (PBE) for a geometry-optimized Ac2TlAs2O6 structure.

Structure (POSCAR):
```
Ac2TlAs2O6
1.0
6.977 -0.172 0.089
3.343 6.475 -0.885
0.190 -4.638 6.638
Ac Tl As O
2 1 2 6
direct
0.831 0.356 0.787
0.169 0.644 0.213
0.500 0.000 0.500
0.182 0.728 0.834
0.818 0.272 0.166
0.361 0.708 0.979
0.943 0.427 0.146
0.183 0.919 0.559
0.057 0.573 0.854
0.817 0.081 0.441
0.639 0.292 0.021
```

Computed properties:
**Symmetry**: P-1, No. 2
**VASP energy**: -6.417 eV/atom
**Formation energy (no corrections)**: -1.91 eV/atom
**Spin magnetization**: 1.0 Bohr magnetons per cell



# 4
Density functional theory data (PBE) for a geometry-optimized Cs5In2Sn4 structure.

Structure (POSCAR):
```
Cs5In2Sn4
1.0
-0.183 -2.917 6.723
5.182 -7.496 0.885
9.844 -0.926 3.862
Cs In Sn
5 2 4
direct
0.145 0.298 0.927
0.855 0.702 0.073
0.000 0.500 0.500
0.630 0.298 0.927
0.370 0.702 0.073
0.222 0.893 0.663
0.778 0.107 0.337
0.390 0.845 0.376
0.610 0.155 0.624
0.761 0.777 0.700
0.239 0.223 0.300
```

Computed properties:
**Symmetry**: C2/m, No. 12
**VASP energy**: -2.335 eV/atom
**DFT formation energy**: 0.007 eV per atom
**Spin magnetization**: 0.0 Bohr magnetons per cell



# 5
Density functional theory data (PBE) for a geometry-optimized PIrW2 structure.

Structure (POSCAR):
```
PIrW2
1.0
3.692 0.000 0.000
0.000 3.692 0.000
0.000 0.000 4.390
P Ir W
1 1 2
direct
0.000 0.000 0.500
0.500 0.500 0.500
0.000 0.500 0.000
0.500 0.000 0.000
```

Computed properties:
**Symmetry**: P4/mmm, No. 123
**VASP energy**: -9.701 eV/atom
**DFT formation energy**: 0.343 eV per atom
**Spin magnetization**: 0.0 Bohr magnetons per cell



# 6
Density functional theory data (PBE) for a geometry-optimized La12Co6Ge structure.

Structure (POSCAR):
```
La12Co6Ge
1.0
-7.412 -3.589 -2.877
1.726 -2.936 8.031
-0.857 8.679 0.198
La Co Ge
12 6 1
direct
0.309 0.122 0.813
0.309 0.496 0.187
0.691 0.504 0.813
0.691 0.878 0.187
0.122 0.813 0.309
0.496 0.187 0.309
0.504 0.813 0.691
0.878 0.187 0.691
0.813 0.309 0.122
0.187 0.309 0.496
0.813 0.691 0.504
0.187 0.691 0.878
0.379 0.500 0.879
0.621 0.500 0.121
0.500 0.879 0.379
0.500 0.121 0.621
0.879 0.379 0.500
0.121 0.621 0.500
0.000 0.000 0.000
```

Computed properties:
**Symmetry**: Im-3, No. 204
**VASP energy**: -5.782 eV/atom
**DFT formation energy**: -0.183 eV per atom
**Spin magnetization**: 0.0 Bohr magnetons per cell



# 7
Density functional theory data (PBE) for a geometry-optimized Dy12Tl6C structure.

Structure (POSCAR):
```
Dy12Tl6C
1.0
8.232 0.272 0.326
-0.979 8.178 0.326
-0.979 -1.141 8.105
Dy Tl C
12 6 1
direct
0.799 0.583 0.464
0.464 0.799 0.583
0.583 0.464 0.799
0.201 0.417 0.536
0.536 0.201 0.417
0.417 0.536 0.201
0.969 0.075 0.288
0.925 0.712 0.031
0.712 0.031 0.925
0.031 0.925 0.712
0.075 0.288 0.969
0.288 0.969 0.075
0.641 0.857 0.255
0.745 0.359 0.143
0.143 0.745 0.359
0.359 0.143 0.745
0.255 0.641 0.857
0.857 0.255 0.641
0.000 0.000 0.000
```

Computed properties:
**Symmetry**: R-3, No. 148
**VASP energy**: -4.354 eV/atom
**DFT formation energy**: -0.215 eV per atom
**Spin magnetization**: 0.0 Bohr magnetons per cell



# 8
Density functional theory data (PBE) for a geometry-optimized NpSiClO4 structure.

Structure (POSCAR):
```
NpSiClO4
1.0
-3.677 1.314 -4.492
-1.748 -4.980 -2.751
-6.010 -1.123 2.596
Np Si Cl O
2 2 2 8
direct
0.243 0.243 0.847
0.757 0.757 0.153
0.640 0.640 0.731
0.360 0.360 0.269
0.014 0.014 0.229
0.986 0.986 0.771
0.290 0.290 0.523
0.710 0.710 0.477
0.113 0.486 0.157
0.534 0.534 0.215
0.514 0.887 0.843
0.486 0.113 0.157
0.466 0.466 0.785
0.887 0.514 0.843
```

Computed properties:
**Symmetry**: C2/m, No. 12
**VASP energy**: -8.222 eV/atom
**Formation energy (no corrections)**: -2.50 eV/atom
**Spin magnetization**: 4.0 Bohr magnetons per cell



# 9
Density functional theory data (PBE) for a geometry-optimized CsEr2C2N6 structure.

Structure (POSCAR):
```
CsEr2C2N6
1.0
6.007 0.003 0.002
3.001 5.245 0.205
-0.001 -2.695 5.404
Cs Er C N
1 2 2 6
direct
0.500 0.000 0.500
0.826 0.347 0.797
0.174 0.653 0.203
0.155 0.690 0.760
0.845 0.310 0.240
0.389 0.603 0.824
0.992 0.397 0.176
0.072 0.857 0.642
0.008 0.603 0.824
0.928 0.143 0.358
0.611 0.397 0.176
```

Computed properties:
**Symmetry**: C2/m, No. 12
**VASP energy**: -7.528 eV/atom
**Formation energy (no corrections)**: -0.40 eV/atom
**Spin magnetization**: 0.0 Bohr magnetons per cell



# 10
Density functional theory data (PBE) for a geometry-optimized Sr2PdNCl structure.

Structure (POSCAR):
```
Sr2PdNCl
1.0
5.313 0.000 0.000
0.000 5.313 0.000
0.000 0.000 4.042
Sr N Pd Cl
2 1 1 1
direct
0.000 0.500 0.000
0.500 0.000 0.000
0.000 0.000 0.000
0.000 0.000 0.500
0.500 0.500 0.500
```

Computed properties:
**Symmetry**: P4/mmm, No. 123
**VASP energy**: -4.723 eV/atom
**Formation energy (no corrections)**: -0.98 eV/atom
**Spin magnetization**: 0.0 Bohr magnetons per cell



# 11
Density functional theory data (PBE) for a geometry-optimized Tm6In3Hg structure.

Structure (POSCAR):
```
Tm6In3Hg
1.0
5.274 0.000 0.000
0.000 8.688 -2.893
0.000 0.073 11.551
Tm In Hg
12 6 2
direct
0.250 0.460 0.085
0.750 0.540 0.915
0.250 0.139 0.172
0.750 0.861 0.828
0.250 0.662 0.671
0.750 0.338 0.329
0.250 0.240 0.498
0.750 0.760 0.502
0.250 0.843 0.307
0.750 0.157 0.693
0.250 0.097 0.878
0.750 0.903 0.122
0.250 0.527 0.380
0.750 0.473 0.620
0.250 0.380 0.786
0.750 0.620 0.214
0.250 0.778 0.970
0.750 0.222 0.030
0.250 0.956 0.607
0.750 0.044 0.393
```

Computed properties:
**Symmetry**: P2_1/m, No. 11
**VASP energy**: -3.881 eV/atom
**DFT formation energy**: -0.347 eV per atom
**Spin magnetization**: 0.0 Bohr magnetons per cell



# 12
Density functional theory data (PBE) for a geometry-optimized CsI2Br4 structure.

Structure (POSCAR):
```
CsI2Br4
1.0
9.324 -2.804 -0.220
-3.470 9.096 0.185
-2.794 -3.298 9.516
Cs I Br
2 4 8
direct
0.247 0.748 0.500
0.003 0.002 0.000
0.625 0.375 0.750
0.625 0.875 0.250
0.625 0.375 0.250
0.125 0.375 0.750
0.880 0.212 0.240
0.370 0.538 0.260
0.972 0.639 0.759
0.787 0.119 0.758
0.362 0.029 0.243
0.278 0.111 0.741
0.463 0.631 0.742
0.888 0.721 0.257
```

Computed properties:
**Symmetry**: P-1, No. 2
**VASP energy**: -2.057 eV/atom
**Formation energy (no corrections)**: -0.54 eV/atom
**Spin magnetization**: 0.0 Bohr magnetons per cell



Among the records above, which one has the lowest VASP energy? PIrW2



The highest VASP energy belongs to which entry? CsI2Br4



Which value of spin magnetization does entry 4 give? 0.0 Bohr magnetons per cell



Which value of spin magnetization does entry 7 give? 0.0 Bohr magnetons per cell